# 1
Below is crystalline TaZn2Sn2 at its relaxed geometry, with properties calculated at the PBE level.

Cell lengths 7.178, 7.178, 3.744 Å; angles 90.00, 90.00, 90.00 degrees
Sites, in units of the cell vectors:
1 Ta 0.000 0.000 0.000
2 Ta 0.500 0.500 0.000
3 Zn 0.127 0.373 0.000
4 Zn 0.373 0.873 0.000
5 Zn 0.627 0.127 0.000
6 Zn 0.873 0.627 0.000
7 Sn 0.175 0.675 0.500
8 Sn 0.325 0.175 0.500
9 Sn 0.675 0.825 0.500
10 Sn 0.825 0.325 0.500

Summary:
**Raw total energy**: -4.18 eV/atom
**ΔH_f (0 K)**: 0.304 eV per atom
**SG**: P4/mbm, No. 127


# 2
Below is crystalline Ta4ZnSn2 at its relaxed geometry, with properties calculated at the PBE level.

Cell lengths 7.963, 7.963, 7.963 Å; angles 146.55, 146.55, 48.04 degrees
Sites, in units of the cell vectors:
1 Ta 0.000 0.500 0.500
2 Ta 0.166 0.166 0.000
3 Ta 0.500 0.000 0.500
4 Ta 0.834 0.834 0.000
5 Zn 0.000 0.000 0.000
6 Sn 0.360 0.360 0.000
7 Sn 0.640 0.640 0.000

Summary:
**Raw total energy**: -7.12 eV/atom
**ΔH_f (0 K)**: 0.977 eV per atom
**SG**: I4/mmm, No. 139


# 3
Below is crystalline Ta2ZnSn at its relaxed geometry, with properties calculated at the PBE level.

Cell lengths 10.510, 10.510, 10.510 Å; angles 158.26, 158.26, 30.94 degrees
Sites, in units of the cell vectors:
1 Ta 0.123 0.625 0.998
2 Ta 0.375 0.373 0.498
3 Ta 0.627 0.125 0.002
4 Ta 0.875 0.877 0.502
5 Zn 0.000 0.000 0.000
6 Zn 0.750 0.250 0.500
7 Sn 0.250 0.750 0.500
8 Sn 0.500 0.500 0.000

Summary:
**Raw total energy**: -6.77 eV/atom
**ΔH_f (0 K)**: 0.474 eV per atom
**SG**: I-42d, No. 122


# 4
Below is crystalline TaZnSn2 at its relaxed geometry, with properties calculated at the PBE level.

Cell lengths 11.597, 11.597, 11.597 Å; angles 15.00, 15.00, 15.00 degrees
Sites, in units of the cell vectors:
1 Ta 0.000 0.000 0.000
2 Zn 0.500 0.500 0.500
3 Sn 0.086 0.086 0.086
4 Sn 0.914 0.914 0.914

Summary:
**Raw total energy**: -4.78 eV/atom
**ΔH_f (0 K)**: 0.507 eV per atom
**SG**: R-3m, No. 166


# 5
Below is crystalline TaZn3Sn at its relaxed geometry, with properties calculated at the PBE level.

Cell lengths 4.961, 4.961, 4.961 Å; angles 90.00, 90.00, 90.00 degrees
Sites, in units of the cell vectors:
1 Ta 0.000 0.000 0.000
2 Zn 0.000 0.500 0.500
3 Zn 0.500 0.000 0.500
4 Zn 0.500 0.500 0.000
5 Sn 0.500 0.500 0.500

Summary:
**Raw total energy**: -2.52 eV/atom
**ΔH_f (0 K)**: 1.419 eV per atom
**SG**: Pm-3m, No. 221


# 6
Below is crystalline Zr12TaSn6 at its relaxed geometry, with properties calculated at the PBE level.

Cell lengths 7.985, 7.985, 7.985 Å; angles 100.08, 100.08, 100.08 degrees
Sites, in units of the cell vectors:
1 Zr 0.013 0.335 0.053
2 Zr 0.053 0.013 0.335
3 Zr 0.212 0.406 0.526
4 Zr 0.335 0.053 0.013
5 Zr 0.406 0.526 0.212
6 Zr 0.474 0.788 0.594
7 Zr 0.526 0.212 0.406
8 Zr 0.594 0.474 0.788
9 Zr 0.665 0.947 0.987
10 Zr 0.788 0.594 0.474
11 Zr 0.947 0.987 0.665
12 Zr 0.987 0.665 0.947
13 Ta 0.000 0.000 0.000
14 Sn 0.113 0.666 0.334
15 Sn 0.334 0.113 0.666
16 Sn 0.334 0.666 0.887
17 Sn 0.666 0.334 0.113
18 Sn 0.666 0.887 0.334
19 Sn 0.887 0.334 0.666

Summary:
**Raw total energy**: -7.22 eV/atom
**ΔH_f (0 K)**: 0.066 eV per atom
**SG**: R-3, No. 148


# 7
Below is crystalline Zr2TaSn at its relaxed geometry, with properties calculated at the PBE level.

Cell lengths 3.630, 3.630, 6.457 Å; angles 90.00, 90.00, 90.00 degrees
Sites, in units of the cell vectors:
1 Zr 0.000 0.000 0.243
2 Zr 0.000 0.000 0.757
3 Ta 0.500 0.500 0.000
4 Sn 0.500 0.500 0.500

Summary:
**Raw total energy**: -8.49 eV/atom
**ΔH_f (0 K)**: -0.253 eV per atom
**SG**: P4/mmm, No. 123


# 8
Below is crystalline ZrTa2Sn2 at its relaxed geometry, with properties calculated at the PBE level.

Cell lengths 5.229, 5.229, 4.888 Å; angles 90.00, 90.00, 90.00 degrees
Sites, in units of the cell vectors:
1 Zr 0.000 0.000 0.000
2 Ta 0.500 0.500 0.000
3 Ta 0.500 0.500 0.500
4 Sn 0.000 0.500 0.500
5 Sn 0.500 0.000 0.500

Summary:
**Raw total energy**: -6.98 eV/atom
**ΔH_f (0 K)**: 1.069 eV per atom
**SG**: P4/mmm, No. 123


# 9
Below is crystalline Zr3TaSn at its relaxed geometry, with properties calculated at the PBE level.

Cell lengths 5.201, 5.201, 5.201 Å; angles 90.00, 90.00, 90.00 degrees
Sites, in units of the cell vectors:
1 Zr 0.000 0.000 0.500
2 Zr 0.000 0.500 0.000
3 Zr 0.500 0.000 0.000
4 Ta 0.500 0.500 0.500
5 Sn 0.000 0.000 0.000

Summary:
**Raw total energy**: -7.03 eV/atom
**ΔH_f (0 K)**: 1.274 eV per atom
**SG**: Pm-3m, No. 221


# 10
Below is crystalline Zr2TaSn at its relaxed geometry, with properties calculated at the PBE level.

Cell lengths 6.313, 6.313, 6.313 Å; angles 102.33, 102.33, 124.96 degrees
Sites, in units of the cell vectors:
1 Zr 0.115 0.625 0.990
2 Zr 0.375 0.365 0.490
3 Zr 0.635 0.125 0.010
4 Zr 0.875 0.885 0.510
5 Ta 0.000 0.000 0.000
6 Ta 0.750 0.250 0.500
7 Sn 0.250 0.750 0.500
8 Sn 0.500 0.500 0.000

Summary:
**Raw total energy**: -7.84 eV/atom
**ΔH_f (0 K)**: 0.398 eV per atom
**SG**: I-42d, No. 122


# 11
Below is crystalline Zr3TaSn at its relaxed geometry, with properties calculated at the PBE level.

Cell lengths 5.117, 5.117, 5.117 Å; angles 90.00, 90.00, 90.00 degrees
Sites, in units of the cell vectors:
1 Zr 0.000 0.000 0.500
2 Zr 0.000 0.500 0.000
3 Zr 0.500 0.000 0.000
4 Ta 0.000 0.000 0.000
5 Sn 0.500 0.500 0.500

Summary:
**Raw total energy**: -7.54 eV/atom
**ΔH_f (0 K)**: 0.755 eV per atom
**SG**: Pm-3m, No. 221


# 12
Below is crystalline Zr2TaSn at its relaxed geometry, with properties calculated at the PBE level.

Cell lengths 4.692, 4.692, 3.824 Å; angles 90.00, 90.00, 90.00 degrees
Sites, in units of the cell vectors:
1 Zr 0.000 0.500 0.000
2 Zr 0.500 0.000 0.000
3 Ta 0.000 0.000 0.500
4 Sn 0.500 0.500 0.500

Summary:
**Raw total energy**: -8.46 eV/atom
**ΔH_f (0 K)**: -0.227 eV per atom
**SG**: P4/mmm, No. 123


# 13
Below is crystalline ZrTaSn3 at its relaxed geometry, with properties calculated at the PBE level.

Cell lengths 5.295, 5.295, 5.295 Å; angles 90.00, 90.00, 90.00 degrees
Sites, in units of the cell vectors:
1 Zr 0.000 0.000 0.000
2 Ta 0.500 0.500 0.500
3 Sn 0.000 0.500 0.500
4 Sn 0.500 0.000 0.500
5 Sn 0.500 0.500 0.000

Summary:
**Raw total energy**: -5.71 eV/atom
**ΔH_f (0 K)**: 0.775 eV per atom
**SG**: Pm-3m, No. 221


# 14
Below is crystalline ZrTa2Sn2 at its relaxed geometry, with properties calculated at the PBE level.

Cell lengths 7.645, 7.645, 3.563 Å; angles 90.00, 90.00, 90.00 degrees
Sites, in units of the cell vectors:
1 Zr 0.000 0.000 0.000
2 Zr 0.500 0.500 0.000
3 Ta 0.152 0.348 0.500
4 Ta 0.348 0.848 0.500
5 Ta 0.652 0.152 0.500
6 Ta 0.848 0.652 0.500
7 Sn 0.144 0.644 0.000
8 Sn 0.356 0.144 0.000
9 Sn 0.644 0.856 0.000
10 Sn 0.856 0.356 0.000

Summary:
**Raw total energy**: -8.02 eV/atom
**ΔH_f (0 K)**: 0.028 eV per atom
**SG**: P4/mbm, No. 127


# 15
Below is crystalline TbSn4 at its relaxed geometry, with properties calculated at the PBE level.

Cell lengths 5.927, 5.927, 7.841 Å; angles 130.92, 130.92, 42.02 degrees
Sites, in units of the cell vectors:
1 Tb 0.000 0.000 0.000
2 Sn 0.197 0.197 0.812
3 Sn 0.384 0.384 0.582
4 Sn 0.616 0.616 0.418
5 Sn 0.803 0.803 0.188

Summary:
**Raw total energy**: -4.44 eV/atom
**ΔH_f (0 K)**: -0.316 eV per atom
**SG**: C2/m, No. 12


# 16
Below is crystalline Tb2Sn at its relaxed geometry, with properties calculated at the PBE level.

Cell lengths 9.019, 9.019, 9.019 Å; angles 150.67, 150.67, 41.96 degrees
Sites, in units of the cell vectors:
1 Tb 0.000 0.500 0.500
2 Tb 0.177 0.177 0.000
3 Tb 0.500 0.000 0.500
4 Tb 0.823 0.823 0.000
5 Sn 0.362 0.362 0.000
6 Sn 0.638 0.638 0.000

Summary:
**Raw total energy**: -5.01 eV/atom
**ΔH_f (0 K)**: -0.588 eV per atom
**SG**: I4/mmm, No. 139


# 17
Below is crystalline Tb3Sn7 at its relaxed geometry, with properties calculated at the PBE level.

Cell lengths 13.515, 13.515, 4.445 Å; angles 90.00, 90.00, 161.13 degrees
Sites, in units of the cell vectors:
1 Tb 0.000 0.000 0.000
2 Tb 0.311 0.689 0.500
3 Tb 0.689 0.311 0.500
4 Sn 0.097 0.903 0.500
5 Sn 0.212 0.788 0.000
6 Sn 0.403 0.597 0.000
7 Sn 0.500 0.500 0.500
8 Sn 0.597 0.403 0.000
9 Sn 0.788 0.212 0.000
10 Sn 0.903 0.097 0.500

Summary:
**Raw total energy**: -4.75 eV/atom
**ΔH_f (0 K)**: -0.558 eV per atom
**SG**: Cmmm, No. 65


# 18
Below is crystalline Tb5Sn2 at its relaxed geometry, with properties calculated at the PBE level.

Cell lengths 20.005, 20.005, 4.571 Å; angles 90.00, 90.00, 166.84 degrees
Sites, in units of the cell vectors:
1 Tb 0.036 0.964 0.750
2 Tb 0.176 0.824 0.250
3 Tb 0.250 0.750 0.750
4 Tb 0.389 0.611 0.250
5 Tb 0.463 0.537 0.750
6 Tb 0.537 0.463 0.250
7 Tb 0.611 0.389 0.750
8 Tb 0.750 0.250 0.250
9 Tb 0.824 0.176 0.750
10 Tb 0.964 0.036 0.250
11 Sn 0.096 0.904 0.250
12 Sn 0.310 0.690 0.250
13 Sn 0.690 0.310 0.750
14 Sn 0.904 0.096 0.750

Summary:
**Raw total energy**: -4.92 eV/atom
**ΔH_f (0 K)**: -0.469 eV per atom
**SG**: Cmcm, No. 63


# 19
Below is crystalline Tb4Sn at its relaxed geometry, with properties calculated at the PBE level.

Cell lengths 5.769, 5.769, 5.769 Å; angles 90.00, 90.00, 90.00 degrees
Sites, in units of the cell vectors:
1 Tb 0.000 0.000 0.000
2 Tb 0.000 0.500 0.500
3 Tb 0.500 0.000 0.500
4 Tb 0.500 0.500 0.000
5 Sn 0.500 0.500 0.500

Summary:
**Raw total energy**: -4.24 eV/atom
**ΔH_f (0 K)**: 0.269 eV per atom
**SG**: Pm-3m, No. 221


# 20
Below is crystalline TbSn4 at its relaxed geometry, with properties calculated at the PBE level.

Cell lengths 9.865, 9.865, 9.865 Å; angles 152.74, 141.99, 47.41 degrees
Sites, in units of the cell vectors:
1 Tb 0.340 0.090 0.250
2 Tb 0.660 0.910 0.750
3 Sn 0.000 0.500 0.500
4 Sn 0.153 0.903 0.250
5 Sn 0.186 0.692 0.494
6 Sn 0.302 0.308 0.994
7 Sn 0.500 0.500 0.000
8 Sn 0.698 0.692 0.006
9 Sn 0.814 0.308 0.506
10 Sn 0.847 0.097 0.750

Summary:
**Raw total energy**: -4.45 eV/atom
**ΔH_f (0 K)**: -0.317 eV per atom
**SG**: Imma, No. 74


# 21
Below is crystalline Tb3Sn at its relaxed geometry, with properties calculated at the PBE level.

Cell lengths 3.532, 5.435, 6.024 Å; angles 90.00, 90.00, 90.00 degrees
Sites, in units of the cell vectors:
1 Tb 0.000 0.000 0.000
2 Tb 0.000 0.500 0.362
3 Tb 0.500 0.000 0.526
4 Sn 0.500 0.500 0.847

Summary:
**Raw total energy**: -4.78 eV/atom
**ΔH_f (0 K)**: -0.308 eV per atom
**SG**: Pmm2, No. 25


# 22
Below is crystalline Tb3Sn at its relaxed geometry, with properties calculated at the PBE level.

Cell lengths 6.100, 6.100, 6.100 Å; angles 134.51, 134.51, 66.30 degrees
Sites, in units of the cell vectors:
1 Tb 0.000 0.000 0.000
2 Tb 0.250 0.750 0.500
3 Tb 0.750 0.250 0.500
4 Sn 0.500 0.500 0.000

Summary:
**Raw total energy**: -4.87 eV/atom
**ΔH_f (0 K)**: -0.395 eV per atom
**SG**: I4/mmm, No. 139


# 23
Below is crystalline Tb3Sn at its relaxed geometry, with properties calculated at the PBE level.

Cell lengths 5.423, 5.423, 5.423 Å; angles 60.00, 60.00, 60.00 degrees
Sites, in units of the cell vectors:
1 Tb 0.000 0.000 0.000
2 Tb 0.250 0.250 0.250
3 Tb 0.750 0.750 0.750
4 Sn 0.500 0.500 0.500

Summary:
**Raw total energy**: -4.71 eV/atom
**ΔH_f (0 K)**: -0.236 eV per atom
**SG**: Fm-3m, No. 225


# 24
Below is crystalline Tb11Sn10 at its relaxed geometry, with properties calculated at the PBE level.

Cell lengths 11.907, 11.907, 11.907 Å; angles 121.25, 121.25, 87.86 degrees
Sites, in units of the cell vectors:
1 Tb 0.060 0.311 0.749
2 Tb 0.102 0.433 0.331
3 Tb 0.102 0.771 0.669
4 Tb 0.166 0.166 0.000
5 Tb 0.229 0.898 0.331
6 Tb 0.311 0.060 0.749
7 Tb 0.311 0.562 0.251
8 Tb 0.326 0.326 0.653
9 Tb 0.326 0.674 0.000
10 Tb 0.433 0.102 0.331
11 Tb 0.438 0.689 0.749
12 Tb 0.562 0.311 0.251
13 Tb 0.567 0.898 0.669
14 Tb 0.674 0.326 0.000
15 Tb 0.674 0.674 0.347
16 Tb 0.689 0.438 0.749
17 Tb 0.689 0.940 0.251
18 Tb 0.771 0.102 0.669
19 Tb 0.834 0.834 0.000
20 Tb 0.898 0.229 0.331
21 Tb 0.898 0.567 0.669
22 Tb 0.940 0.689 0.251
23 Sn 0.030 0.030 0.412
24 Sn 0.030 0.618 0.000
25 Sn 0.129 0.129 0.258
26 Sn 0.129 0.871 0.000
27 Sn 0.144 0.500 0.644
28 Sn 0.250 0.750 0.500
29 Sn 0.382 0.382 0.412
30 Sn 0.382 0.970 0.000
31 Sn 0.388 0.388 0.000
32 Sn 0.500 0.144 0.644
33 Sn 0.500 0.856 0.356
34 Sn 0.612 0.612 0.000
35 Sn 0.618 0.030 0.000
36 Sn 0.618 0.618 0.588
37 Sn 0.750 0.250 0.500
38 Sn 0.856 0.500 0.356
39 Sn 0.871 0.129 0.000
40 Sn 0.871 0.871 0.742
41 Sn 0.970 0.382 0.000
42 Sn 0.970 0.970 0.588

Summary:
**Raw total energy**: -5.08 eV/atom
**ΔH_f (0 K)**: -0.749 eV per atom
**SG**: I4/mmm, No. 139